No. 1
# Tc2AgRu2

Tc2AgRu2 after structural relaxation (GGA-PBE, Alexandria).

Energy of formation from the pure elements in eV per formula unit: 1.355
VASP energy in eV/atom: -8.156
DOS(E_F) in states/eV per cell: 8.01
Spin magnetization in μB/f.u.: 0.00

Geometry as POSCAR:
```
Tc2AgRu2
1.0
-2.861 -3.488 -6.076
-3.744 -4.786 4.511
-2.143 1.705 0.030
Ru Ag Tc
4 2 4
direct
0.333 0.167 0.500
0.667 0.833 0.500
0.167 0.667 0.500
0.833 0.333 0.500
0.500 0.500 0.000
0.000 0.000 0.000
0.621 0.121 0.000
0.121 0.379 0.000
0.879 0.621 0.000
0.379 0.879 0.000
```

***

No. 2
# TcAgRu4

TcAgRu4 after structural relaxation (GGA-PBE, Alexandria).

Energy of formation from the pure elements in eV per formula unit: 3.625
VASP energy in eV/atom: -7.783
DOS(E_F) in states/eV per cell: 8.83
Spin magnetization in μB/f.u.: 0.00

Geometry as POSCAR:
```
TcAgRu4
1.0
4.010 2.441 1.919
-0.681 3.817 3.269
1.232 -0.594 4.884
Ru Tc Ag
4 1 1
direct
0.875 0.375 0.375
0.375 0.875 0.375
0.375 0.375 0.875
0.375 0.375 0.375
0.750 0.750 0.750
0.000 0.000 0.000
```

***

No. 3
# TcAgRu

TcAgRu after structural relaxation (GGA-PBE, Alexandria).

Energy of formation from the pure elements in eV per formula unit: 1.212
VASP energy in eV/atom: -7.094
DOS(E_F) in states/eV per cell: 2.83
Spin magnetization in μB/f.u.: 0.00

Geometry as POSCAR:
```
TcAgRu
1.0
4.912 -0.007 0.010
2.658 4.131 -0.010
-3.461 -2.657 2.257
Ru Ag Tc
1 1 1
direct
0.320 0.320 0.000
0.000 0.000 0.000
0.680 0.680 0.000
```

***

No. 4
# TcAg2RuW

TcAg2RuW after structural relaxation (GGA-PBE, Alexandria).

Energy of formation from the pure elements in eV per formula unit: 11.164
VASP energy in eV/atom: -5.427
DOS(E_F) in states/eV per cell: 8.19
Spin magnetization in μB/f.u.: 1.35

Geometry as POSCAR:
```
TcAg2RuW
1.0
4.867 0.000 0.000
0.000 4.464 0.000
0.000 0.000 4.867
Ag W Ru Tc
2 1 1 1
direct
0.000 0.000 0.500
0.500 0.000 0.000
0.500 0.500 0.500
0.000 0.000 0.000
0.000 0.500 0.000
```

***

No. 5
# Zr2TcAgRu

Zr2TcAgRu after structural relaxation (GGA-PBE, Alexandria).

Energy of formation from the pure elements in eV per formula unit: 4.970
VASP energy in eV/atom: -6.924
DOS(E_F) in states/eV per cell: 5.22
Spin magnetization in μB/f.u.: 2.44

Geometry as POSCAR:
```
Zr2TcAgRu
1.0
-3.143 2.208 -2.974
3.008 -0.933 -3.872
-2.269 -4.231 -0.743
Zr Ru Tc Ag
2 1 1 1
direct
0.500 0.000 0.000
0.000 0.000 0.500
0.000 0.000 0.000
0.500 0.500 0.500
0.000 0.500 0.000
```

***

No. 6
# AgTeRu2

AgTeRu2 after structural relaxation (GGA-PBE, Alexandria).

VASP energy in eV/atom: -5.535
DOS(E_F) in states/eV per cell: 5.89
Spin magnetization in μB/f.u.: 1.08
ΔE_f (raw) in eV/atom: 0.601

Geometry as POSCAR:
```
AgTeRu2
1.0
5.028 -0.004 0.000
1.787 4.699 0.000
-3.407 -2.348 2.856
Te Ag Ru
1 1 2
direct
0.500 0.500 0.000
0.750 0.250 0.500
0.000 0.000 0.000
0.250 0.750 0.500
```

***

No. 7
# AgTeRu2

AgTeRu2 after structural relaxation (GGA-PBE, Alexandria).

VASP energy in eV/atom: -5.600
DOS(E_F) in states/eV per cell: 3.49
Spin magnetization in μB/f.u.: 0.00
ΔE_f (raw) in eV/atom: 0.536

Geometry as POSCAR:
```
AgTeRu2
1.0
4.151 0.000 0.000
0.000 3.085 0.006
0.000 1.487 5.397
Ag Ru Te
1 2 1
direct
0.500 0.750 0.750
0.000 0.386 0.490
0.000 0.114 0.010
0.500 0.250 0.250
```

***

No. 8
# AgTe4Ru

AgTe4Ru after structural relaxation (GGA-PBE, Alexandria).

VASP energy in eV/atom: -3.027
DOS(E_F) in states/eV per cell: 8.50
Spin magnetization in μB/f.u.: 3.05
ΔE_f (raw) in eV/atom: 1.088

Geometry as POSCAR:
```
AgTe4Ru
1.0
0.000 4.417 4.417
4.417 0.000 4.417
4.417 4.417 0.000
Ru Te Ag
1 4 1
direct
0.000 0.000 0.000
0.375 0.375 0.875
0.375 0.875 0.375
0.375 0.375 0.375
0.875 0.375 0.375
0.750 0.750 0.750
```

***

No. 9
# AgTeRu2

AgTeRu2 after structural relaxation (GGA-PBE, Alexandria).

VASP energy in eV/atom: -5.648
DOS(E_F) in states/eV per cell: 3.59
Spin magnetization in μB/f.u.: 0.00
ΔE_f (raw) in eV/atom: 0.488

Geometry as POSCAR:
```
AgTeRu2
1.0
-3.079 -7.291 -5.559
-0.256 -8.137 -5.223
-2.272 -8.851 -3.168
Ru Ag Te
2 1 1
direct
0.257 0.257 0.257
0.992 0.992 0.992
0.741 0.741 0.741
0.511 0.511 0.511
```

***

No. 10
# Ag4TeRu

Ag4TeRu after structural relaxation (GGA-PBE, Alexandria).

VASP energy in eV/atom: -3.419
DOS(E_F) in states/eV per cell: 5.47
Spin magnetization in μB/f.u.: 1.87
ΔE_f (raw) in eV/atom: 0.551

Geometry as POSCAR:
```
Ag4TeRu
1.0
5.317 0.485 1.300
2.008 4.863 1.587
1.489 0.783 5.231
Ag Ru Te
4 1 1
direct
0.873 0.376 0.376
0.376 0.873 0.376
0.376 0.376 0.873
0.376 0.376 0.376
0.750 0.750 0.750
0.000 0.000 0.000
```

***

No. 11
# AgTeRu

AgTeRu after structural relaxation (GGA-PBE, Alexandria).

VASP energy in eV/atom: -4.740
DOS(E_F) in states/eV per cell: 2.05
Spin magnetization in μB/f.u.: 0.00
ΔE_f (raw) in eV/atom: 0.349

Geometry as POSCAR:
```
AgTeRu
1.0
-0.151 -2.479 2.077
2.185 -0.020 -2.388
4.479 3.138 4.072
Ru Te Ag
1 1 1
direct
0.667 0.333 0.353
0.333 0.667 0.615
0.000 0.000 0.032
```

***

No. 12
# Ag3TeRu

Ag3TeRu after structural relaxation (GGA-PBE, Alexandria).

VASP energy in eV/atom: -3.028
DOS(E_F) in states/eV per cell: 4.63
Spin magnetization in μB/f.u.: 2.43
ΔE_f (raw) in eV/atom: 1.167

Geometry as POSCAR:
```
Ag3TeRu
1.0
-4.347 2.456 -0.924
0.595 -0.819 -4.975
-2.555 -4.368 0.413
Ag Te Ru
3 1 1
direct
0.000 0.000 0.500
0.000 0.500 0.000
0.500 0.000 0.000
0.500 0.500 0.500
0.000 0.000 0.000
```

***

> DOS(E_F) of number 7 (AgTeRu2)?

3.49 states/eV per cell